A relaxed structure of AlFePbBr2, computed with PBE.

a = 6.036 Å, b = 6.036 Å, c = 5.139 Å
α = 90.00°, β = 90.00°, γ = 90.00°
Space group P4/mmm (No. 123)
Unique sites:
Al: 0.000 0.000 0.000 [1 per cell]
Fe: 0.500 0.500 0.000 [1 per cell]
Pb: 0.500 0.500 0.500 [1 per cell]
Br: 0.000 0.500 0.500 [2 per cell]

Computed properties:
**Size of the total moment**: 3.04 μB/f.u.
**E_tot**: -3.2835 eV/atom